# Cs2KRbHg

Cs2KRbHg after structural relaxation (GGA-PBE, Alexandria via LeMat-Bulk).

As for the density of states at the Fermi level: 5.1 states/eV/cell. The calculation puts the calculated formation energy at -1.9 kcal/mol of atoms. The value obtained for the energy above the most stable polymorph in this dataset is 0 meV per atom. As for the spin magnetization: 0.00 μB per atom. The calculation puts the final energy at -0.90 eV/atom.

It has space group P4/mmm (No. 123), with a = 7.525 Å, b = 7.525 Å, c = 7.079 Å, α = 90.00°, β = 90.00° and γ = 90.00°. The distinct sites, in fractional coordinates, are Cs at (0.000, 0.500, 0.000), K at (0.000, 0.000, 0.500), Rb at (0.500, 0.500, 0.500) and Hg at (0.000, 0.000, 0.000).